VASP calculation (meta-GGA SCAN) on a crystal of AlSb5 relaxed with PBEsol.

Lattice parameters (Å, degrees): 5.311 5.721 5.721 120.00 90.00 90.00
Sites, in units of the cell vectors:
Sb (0.500, 0.333, 0.667)
Sb (0.500, 0.667, 0.333)
Al (0.500, 0.000, 0.000)
Sb (0.000, 0.000, 0.693)
Sb (0.000, 0.307, 0.307)
Sb (0.000, 0.693, 0.000)

Results
Calculated volume (Å³ per cell): 150.5
Formation energy (no corrections) (eV per atom): 0.2828
Space-group type: P-62m, No. 189

---

VASP calculation (meta-GGA SCAN) on a crystal of Sc4AlSb relaxed with PBEsol.

Lattice parameters (Å, degrees): 5.718 5.718 5.718 60.00 60.00 60.00
Sites, in units of the cell vectors:
Al (0.750, 0.750, 0.750)
Sc (0.375, 0.874, 0.375)
Sc (0.375, 0.375, 0.874)
Sc (0.375, 0.375, 0.375)
Sb (0.000, 0.000, 0.000)
Sc (0.874, 0.375, 0.375)

Results
Calculated volume (Å³ per cell): 132.2
Formation energy (no corrections) (eV per atom): 0.0654
Space-group type: F-43m, No. 216

---

VASP calculation (meta-GGA SCAN) on a crystal of ScAl3Sb relaxed with PBEsol.

Lattice parameters (Å, degrees): 5.172 5.172 5.172 90.00 90.00 90.00
Sites, in units of the cell vectors:
Al (0.000, 0.500, 0.000)
Sb (0.000, 0.000, 0.000)
Al (0.500, 0.000, 0.000)
Al (0.000, 0.000, 0.500)
Sc (0.500, 0.500, 0.500)

Results
Calculated volume (Å³ per cell): 138.3
Formation energy (no corrections) (eV per atom): 0.8876
Space-group type: Pm-3m, No. 221